1.
A plane-wave DFT calculation with PBE was carried out for a geometry-optimized RhPb structure.

Properties
Total magnetization: 0.00 μB/cell
Density of states at the Fermi level: 0.699 states/eV per atom
Calculated formation energy: 0.032 eV/atom
E: -5.50 eV/atom

Cell lengths 4.3390, 9.1009, 6.4140 Å; angles 90.00, 90.00, 90.00 degrees
Space group Amm2 (No. 38)
Asymmetric unit:
Rh (0.0000, 0.0000, 0.0000) [2 per cell]
Rh (0.5000, 0.2152, 0.9440) [4 per cell]
Pb (0.0000, 0.1843, 0.6624) [4 per cell]
Pb (0.5000, 0.0000, 0.2734) [2 per cell]

***

2.
A plane-wave DFT calculation with PBE was carried out for a geometry-optimized RhPb structure.

Properties
Total magnetization: 0.00 μB/cell
Density of states at the Fermi level: 1.116 states/eV per atom
Calculated formation energy: 0.100 eV/atom
E: -5.43 eV/atom

Cell lengths 3.7513, 3.7513, 5.7386 Å; angles 90.00, 90.00, 90.00 degrees
Space group P4/nmm (No. 129, origin choice 2)
Asymmetric unit:
Rh (0.2500, 0.2500, 0.1661) [2 per cell]
Pb (0.2500, 0.2500, 0.6826) [2 per cell]

***

3.
A plane-wave DFT calculation with PBE was carried out for a geometry-optimized Rh2Pb structure.

Properties
Total magnetization: 0.00 μB/cell
Density of states at the Fermi level: 1.345 states/eV per atom
Calculated formation energy: 0.153 eV/atom
E: -5.98 eV/atom

Cell lengths 10.0181, 3.1664, 6.8250 Å; angles 90.00, 100.72, 90.00 degrees
Space group Cm (No. 8)
Asymmetric unit:
Rh (0.0000, 0.0000, 0.0000) [2 per cell]
Rh (0.0852, 0.0000, 0.6249) [2 per cell]
Rh (0.2216, 0.5000, 0.3665) [2 per cell]
Rh (0.3658, 0.0000, 0.6854) [2 per cell]
Pb (0.2177, 0.5000, 0.9374) [2 per cell]
Pb (0.4429, 0.0000, 0.3117) [2 per cell]

***

4.
A plane-wave DFT calculation with PBE was carried out for a geometry-optimized Rh3Pb structure.

Properties
Total magnetization: 0.00 μB/cell
Density of states at the Fermi level: 1.201 states/eV per atom
Calculated formation energy: 0.229 eV/atom
E: -6.21 eV/atom

Cell lengths 2.9497, 4.7534, 4.7775 Å; angles 90.00, 91.24, 90.00 degrees
Space group P2/m (No. 10)
Asymmetric unit:
Rh (0.0000, 0.0000, 0.0000) [1 per cell]
Rh (0.2347, 0.5000, 0.7629) [2 per cell]
Pb (0.5000, 0.0000, 0.5000) [1 per cell]

***

5.
A plane-wave DFT calculation with PBE was carried out for a geometry-optimized Rh5Pb4 structure.

Properties
Total magnetization: 0.00 μB/cell
Density of states at the Fermi level: 0.611 states/eV per atom
Calculated formation energy: 0.075 eV/atom
Relative energy among the computed polymorphs: 0.0 meV per atom
E: -5.66 eV/atom

Cell lengths 9.2330, 9.2330, 4.1249 Å; angles 90.00, 90.00, 90.00 degrees
Space group I4/mmm (No. 139)
Asymmetric unit:
Rh (0.0000, 0.0000, 0.0000) [2 per cell]
Rh (0.1621, 0.1621, 0.5000) [8 per cell]
Pb (0.0000, 0.2938, 0.0000) [8 per cell]

***

6.
A plane-wave DFT calculation with PBE was carried out for a geometry-optimized Ru2RhPb structure.

Properties
Total magnetization: 0.28 μB/cell
Density of states at the Fermi level: 1.626 states/eV per atom
Calculated formation energy: 0.527 eV/atom
E: -6.88 eV/atom

Cell lengths 2.9639, 2.9639, 7.4990 Å; angles 90.00, 90.00, 90.00 degrees
Space group P4/mmm (No. 123)
Asymmetric unit:
Ru (0.0000, 0.0000, 0.2256) [2 per cell]
Rh (0.5000, 0.5000, 0.0000) [1 per cell]
Pb (0.5000, 0.5000, 0.5000) [1 per cell]

***

7.
A plane-wave DFT calculation with PBE was carried out for a geometry-optimized Ru2RhPb structure.

Properties
Total magnetization: 0.00 μB/cell
Density of states at the Fermi level: 1.245 states/eV per atom
Calculated formation energy: 0.476 eV/atom
E: -6.93 eV/atom

Cell lengths 2.8977, 3.8215, 5.9692 Å; angles 90.00, 90.00, 90.00 degrees
Space group Pmmm (No. 47)
Asymmetric unit:
Ru (0.0000, 0.0000, 0.2183) [2 per cell]
Rh (0.5000, 0.5000, 0.0000) [1 per cell]
Pb (0.5000, 0.5000, 0.5000) [1 per cell]

***

8.
A plane-wave DFT calculation with PBE was carried out for a geometry-optimized Ru2RhPb structure.

Properties
Total magnetization: 0.00 μB/cell
Density of states at the Fermi level: 1.092 states/eV per atom
Calculated formation energy: 0.358 eV/atom
E: -7.05 eV/atom

Cell lengths 9.1734, 2.9589, 4.9010 Å; angles 90.00, 100.17, 90.00 degrees
Space group Cm (No. 8)
Asymmetric unit:
Ru (0.0000, 0.0000, 0.0000) [2 per cell]
Ru (0.2389, 0.5000, 0.1869) [2 per cell]
Rh (0.2531, 0.0000, 0.7426) [2 per cell]
Pb (0.4972, 0.0000, 0.4927) [2 per cell]

***

9.
A plane-wave DFT calculation with PBE was carried out for a geometry-optimized Ru2RhPb structure.

Properties
Total magnetization: 0.00 μB/cell
Density of states at the Fermi level: 1.596 states/eV per atom
Calculated formation energy: 0.647 eV/atom
E: -6.76 eV/atom

Cell lengths 2.9472, 2.9472, 26.7014 Å; angles 90.00, 90.00, 120.00 degrees
Space group R-3m (No. 166, hexagonal axes)
Asymmetric unit:
Ru (0.0000, 0.0000, 0.2441) [6 per cell]
Rh (0.0000, 0.0000, 0.5000) [3 per cell]
Pb (0.0000, 0.0000, 0.0000) [3 per cell]

***

10.
A plane-wave DFT calculation with PBE was carried out for a geometry-optimized RuRh4Pb structure.

Properties
Total magnetization: 15.58 μB/cell
Density of states at the Fermi level: 1.225 states/eV per atom
Calculated formation energy: 0.443 eV/atom
E: -6.62 eV/atom

Cell lengths 7.3557, 7.3557, 7.3557 Å; angles 90.00, 90.00, 90.00 degrees
Space group F-43m (No. 216)
Asymmetric unit:
Ru (0.0000, 0.0000, 0.0000) [4 per cell]
Rh (0.1254, 0.1254, 0.6254) [16 per cell]
Pb (0.2500, 0.2500, 0.2500) [4 per cell]

***

11.
A plane-wave DFT calculation with PBE was carried out for a geometry-optimized Ru2RhPb structure.

Properties
Total magnetization: 11.68 μB/cell
Density of states at the Fermi level: 1.283 states/eV per atom
Calculated formation energy: 0.488 eV/atom
E: -6.91 eV/atom

Cell lengths 6.4212, 6.4212, 6.4212 Å; angles 90.00, 90.00, 90.00 degrees
Space group F-43m (No. 216)
Asymmetric unit:
Ru (0.0000, 0.0000, 0.0000) [4 per cell]
Ru (0.2500, 0.2500, 0.2500) [4 per cell]
Rh (0.0000, 0.0000, 0.5000) [4 per cell]
Pb (0.2500, 0.2500, 0.7500) [4 per cell]

***

12.
A plane-wave DFT calculation with PBE was carried out for a geometry-optimized RuRh3Pb structure.

Properties
Total magnetization: 0.00 μB/cell
Density of states at the Fermi level: 1.223 states/eV per atom
Calculated formation energy: 1.016 eV/atom
Relative energy among the computed polymorphs: 0.0 meV per atom
E: -5.99 eV/atom

Cell lengths 4.7248, 4.7248, 4.7248 Å; angles 90.00, 90.00, 90.00 degrees
Space group Pm-3m (No. 221)
Asymmetric unit:
Ru (0.0000, 0.0000, 0.0000) [1 per cell]
Rh (0.0000, 0.0000, 0.5000) [3 per cell]
Pb (0.5000, 0.5000, 0.5000) [1 per cell]

***

What is the formula in the first record?
RhPb

***

Which formula does entry 8 have?
Ru2RhPb

***

Number 1 is which compound?
RhPb